A relaxed MoC5 crystal, computed with GGA-PBE.

abc: 3.920 3.920 4.186
angles: 90.00 90.00 120.00
Atoms (fractional coordinates):
Mo 0.000 0.000 0.500
C 0.783 0.000 0.000
C 0.217 0.217 0.000
C 0.000 0.783 0.000
C 0.667 0.333 0.500
C 0.333 0.667 0.500

The offset from the most stable computed form comes out at 1.892 eV/atom. Its space group is P-62m. The crystal system is hexagonal. The calculation puts the energy relative to the elements at 2.575 eV/atom.